(1)
CaReRu2Pt: optimized geometry, PBE.

Cell lengths 4.6164, 5.3310, 4.6164 Å; angles 90.00, 90.00, 90.00 degrees
With the nearest neighbours (Å) after each atom.
Atoms (fractional coordinates):
Re 0.0000 0.0000 0.0000  4 Ru 2.31
Ca 0.0000 0.5000 0.0000  2 Re 2.67
Pt 0.5000 0.5000 0.5000  4 Ca 3.26, 8 Ru 3.53
Ru 0.0000 0.0000 0.5000  2 Re 2.31
Ru 0.5000 0.0000 0.0000  2 Re 2.31

Summary:
**DFT formation energy**: 1337 meV per atom

=====

(2)
CaReSn2Pt: optimized geometry, PBE.

Cell lengths 5.4355, 4.7276, 5.4355 Å; angles 90.00, 90.00, 90.00 degrees
With the nearest neighbours (Å) after each atom.
Atoms (fractional coordinates):
Re 0.0000 0.5000 0.0000  2 Ca 2.36
Ca 0.0000 0.0000 0.0000  2 Re 2.36
Sn 0.0000 0.0000 0.5000  2 Ca 2.72
Sn 0.5000 0.0000 0.0000  2 Ca 2.72
Pt 0.5000 0.5000 0.5000  8 Sn 3.60, 4 Re 3.84

Summary:
**DFT formation energy**: 2002 meV per atom

=====

(3)
Ca2ReTcPt: optimized geometry, PBE.

Cell lengths 5.2962, 4.8542, 5.2962 Å; angles 90.00, 90.00, 90.00 degrees
With the nearest neighbours (Å) after each atom.
Atoms (fractional coordinates):
Re 0.0000 0.5000 0.0000  2 Pt 2.43
Ca 0.0000 0.0000 0.5000  2 Pt 2.65
Ca 0.5000 0.0000 0.0000  2 Pt 2.65
Tc 0.5000 0.5000 0.5000  8 Ca 3.59, 4 Re 3.74
Pt 0.0000 0.0000 0.0000  2 Re 2.43, 4 Ca 2.65

Summary:
**DFT formation energy**: 1135 meV per atom

=====

(4)
CaTlRe2Pt: optimized geometry, PBE.

Cell lengths 5.1139, 5.0894, 5.1139 Å; angles 90.00, 90.00, 90.00 degrees
With the nearest neighbours (Å) after each atom.
Atoms (fractional coordinates):
Re 0.0000 0.0000 0.5000  2 Tl 2.56
Re 0.5000 0.0000 0.0000  2 Tl 2.56
Tl 0.0000 0.0000 0.0000  2 Pt 2.54, 4 Re 2.56
Ca 0.5000 0.5000 0.5000  8 Re 3.61, 4 Pt 3.62
Pt 0.0000 0.5000 0.0000  2 Tl 2.54

Summary:
**DFT formation energy**: 2045 meV per atom

=====

(5)
CaZrRe2Pt: optimized geometry, PBE.

Cell lengths 4.8987, 4.9883, 4.8987 Å; angles 90.00, 90.00, 90.00 degrees
With the nearest neighbours (Å) after each atom.
Atoms (fractional coordinates):
Re 0.0000 0.0000 0.5000  2 Pt 2.45
Re 0.5000 0.0000 0.0000  2 Pt 2.45
Ca 0.5000 0.5000 0.5000  4 Zr 3.46, 8 Re 3.50
Zr 0.0000 0.5000 0.0000  2 Pt 2.49
Pt 0.0000 0.0000 0.0000  4 Re 2.45, 2 Zr 2.49

Summary:
**DFT formation energy**: 1198 meV per atom

=====

(6)
Ca2Pt4Rh: optimized geometry, PBE.

Cell lengths 4.8430, 4.8430, 8.0589 Å; angles 72.51, 72.51, 90.00 degrees
With the nearest neighbours (Å) after each atom.
Atoms (fractional coordinates):
Ca 0.6337 0.6337 0.7326  5 Pt 2.83-3.11
Ca 0.3663 0.3663 0.2674  5 Pt 2.83-3.11
Rh 0.0000 0.0000 0.0000  6 Pt 2.42-2.52
Pt 0.8273 0.8273 0.3453  1 Rh 2.52
Pt 0.1727 0.1727 0.6547  1 Rh 2.52
Pt 0.0000 0.5000 0.0000  2 Rh 2.42
Pt 0.5000 0.0000 0.0000  2 Rh 2.42

Summary:
**DFT formation energy**: 194 meV per atom

=====

(7)
CaPtRh2: optimized geometry, PBE.

Cell lengths 2.8503, 4.0259, 5.9885 Å; angles 90.00, 90.00, 90.00 degrees
With the nearest neighbours (Å) after each atom.
Atoms (fractional coordinates):
Ca 0.5000 0.5000 0.2500  2 Ca 2.85, 2 Pt 2.99, 8 Rh 3.00
Rh 0.0000 0.0000 0.9661  3 Rh 2.59-2.85, 4 Pt 2.79
Rh 0.0000 0.0000 0.5339  3 Rh 2.59-2.85, 4 Pt 2.79
Pt 0.5000 0.5000 0.7500  8 Rh 2.79, 2 Pt 2.85, 2 Ca 2.99

Summary:
**Offset from the most stable computed form**: 182 meV per atom
**DFT formation energy**: -83 meV per atom

=====

(8)
CaPtRh2: optimized geometry, PBE.

Cell lengths 4.0337, 4.0586, 4.0586 Å; angles 90.00, 90.00, 90.00 degrees
With the nearest neighbours (Å) after each atom.
Atoms (fractional coordinates):
Ca 0.5000 0.5000 0.0000  8 Rh 2.86, 4 Pt 2.87
Rh 0.0000 0.0000 0.0000  4 Ca 2.86, 4 Pt 2.86, 4 Rh 2.87
Rh 0.0000 0.5000 0.5000  4 Pt 2.86, 4 Ca 2.86, 4 Rh 2.87
Pt 0.5000 0.0000 0.5000  8 Rh 2.86, 4 Ca 2.87

Summary:
**Offset from the most stable computed form**: 0 meV per atom
**DFT formation energy**: -265 meV per atom

=====

(9)
CaPtRh2: optimized geometry, PBE.

Cell lengths 4.9778, 4.9778, 4.9778 Å; angles 131.85, 131.85, 70.46 degrees
With the nearest neighbours (Å) after each atom.
Atoms (fractional coordinates):
Ca 0.5000 0.5000 0.0000  8 Rh 2.87, 4 Pt 2.87
Rh 0.0000 0.0000 0.0000  4 Ca 2.87, 4 Rh 2.87, 4 Pt 2.87
Rh 0.2500 0.7500 0.5000  4 Pt 2.87, 4 Ca 2.87, 4 Rh 2.87
Pt 0.7500 0.2500 0.5000  8 Rh 2.87, 4 Ca 2.87

Summary:
**Offset from the most stable computed form**: 78 meV per atom
**DFT formation energy**: -187 meV per atom

=====

(10)
Ca2PtRh: optimized geometry, PBE.

Cell lengths 8.4592, 8.4592, 8.4592 Å; angles 24.08, 24.08, 24.08 degrees
With the nearest neighbours (Å) after each atom.
Atoms (fractional coordinates):
Ca 0.0004 0.0004 0.0004  3 Rh 2.88, 3 Pt 2.90
Ca 0.4996 0.4996 0.4996  3 Rh 2.88, 3 Pt 2.90
Rh 0.7500 0.7500 0.7500  6 Ca 2.88
Pt 0.2500 0.2500 0.2500  6 Ca 2.90

Summary:
**DFT formation energy**: -268 meV per atom

=====

(11)
CaPtRh2: optimized geometry, PBE.

Cell lengths 4.8903, 4.8903, 2.8773 Å; angles 90.00, 90.00, 107.87 degrees
With the nearest neighbours (Å) after each atom.
Atoms (fractional coordinates):
Ca 0.5000 0.0000 0.5000  8 Rh 2.84, 2 Ca 2.88, 2 Pt 2.88
Rh 0.0000 0.0000 0.0000  4 Ca 2.84, 4 Pt 2.84, 4 Rh 2.88
Rh 0.5000 0.5000 0.0000  4 Pt 2.84, 4 Ca 2.84, 4 Rh 2.88
Pt 0.0000 0.5000 0.5000  8 Rh 2.84, 2 Pt 2.88, 2 Ca 2.88

Summary:
**Offset from the most stable computed form**: 54 meV per atom
**DFT formation energy**: -211 meV per atom

=====

(12)
Ca2PtRh: optimized geometry, PBE.

Cell lengths 5.5919, 5.5919, 5.5919 Å; angles 136.37, 136.37, 63.41 degrees
With the nearest neighbours (Å) after each atom.
Atoms (fractional coordinates):
Ca 0.0000 0.0000 0.0000  4 Pt 2.94, 4 Ca 3.16, 4 Rh 3.16
Ca 0.2500 0.7500 0.5000  4 Rh 2.94, 4 Pt 3.16, 4 Ca 3.16
Rh 0.7500 0.2500 0.5000  8 Ca 2.94-3.16, 4 Pt 3.16
Pt 0.5000 0.5000 0.0000  8 Ca 2.94-3.16, 4 Rh 3.16

Summary:
**DFT formation energy**: -426 meV per atom

=====

(13)
Ca3PtRh: optimized geometry, PBE.

Cell lengths 5.2472, 5.2472, 5.2472 Å; angles 90.00, 90.00, 90.00 degrees
With the nearest neighbours (Å) after each atom.
Atoms (fractional coordinates):
Ca 0.0000 0.5000 0.0000  2 Rh 2.62
Ca 0.0000 0.0000 0.5000  2 Rh 2.62
Ca 0.5000 0.0000 0.0000  2 Rh 2.62
Rh 0.0000 0.0000 0.0000  6 Ca 2.62
Pt 0.5000 0.5000 0.5000  12 Ca 3.71

Summary:
**Offset from the most stable computed form**: 0 meV per atom
**DFT formation energy**: -134 meV per atom

=====

(14)
CaPtRh2: optimized geometry, PBE.

Cell lengths 4.9426, 4.9426, 4.9426 Å; angles 131.11, 131.11, 71.64 degrees
With the nearest neighbours (Å) after each atom.
Atoms (fractional coordinates):
Ca 0.2500 0.7500 0.5000  8 Rh 2.86, 4 Pt 2.89
Rh 0.0000 0.0000 0.0000  4 Pt 2.86, 4 Ca 2.86, 4 Rh 2.89
Rh 0.5000 0.5000 0.0000  4 Ca 2.86, 4 Pt 2.86, 4 Rh 2.89
Pt 0.7500 0.2500 0.5000  8 Rh 2.86, 4 Ca 2.89

Summary:
**Offset from the most stable computed form**: 99 meV per atom
**DFT formation energy**: -166 meV per atom

=====

(15)
CaPtRh2: optimized geometry, PBE.

Cell lengths 4.7082, 2.8551, 5.1675 Å; angles 81.25, 90.00, 90.00 degrees
With the nearest neighbours (Å) after each atom.
Atoms (fractional coordinates):
Ca 0.5000 0.2500 0.2500  2 Pt 2.76, 2 Ca 2.86, 4 Rh 2.98
Rh 0.0000 0.9252 0.9716  5 Rh 2.64-2.90, 2 Pt 2.70
Rh 0.0000 0.5748 0.5284  5 Rh 2.64-2.90, 2 Pt 2.70
Pt 0.5000 0.7500 0.7500  4 Rh 2.70, 2 Ca 2.76, 2 Pt 2.86

Summary:
**Offset from the most stable computed form**: 139 meV per atom
**DFT formation energy**: -126 meV per atom

=====

Number 1: density 9.113 g/cm³. Number 2: density 7.832 g/cm³. Number 3: density 6.823 g/cm³. Number 4: density 10.130 g/cm³. Number 5: density 9.694 g/cm³. Number 6: density 9.350 g/cm³. Number 7: density 10.656 g/cm³. Number 8: density 11.021 g/cm³. Number 9: density 10.919 g/cm³. Number 10: density 7.094 g/cm³. Number 11: density 11.181 g/cm³. Number 12: density 7.641 g/cm³. Number 13: density 4.807 g/cm³. Number 14: density 10.918 g/cm³. Number 15: density 10.666 g/cm³.